GdScAsO: optimized geometry, GGA-PBE.

abc: 4.1880 4.1880 8.7714
angles: 90.00 90.00 90.00
Closest atoms and distances in Å follow each position.
Element x y z (fractional)
Gd  0.2500  0.2500  0.1142  4 O 2.32
Gd  0.7500  0.7500  0.8858  4 O 2.32
Sc  0.2500  0.7500  0.5000  4 As 2.68, 4 Sc 2.96
Sc  0.7500  0.2500  0.5000  4 As 2.68, 4 Sc 2.96
As  0.2500  0.2500  0.6903  4 Sc 2.68
As  0.7500  0.7500  0.3097  4 Sc 2.68
O  0.2500  0.7500  0.0000  4 Gd 2.32
O  0.7500  0.2500  0.0000  4 Gd 2.32

Values from the calculation:
**V**: 153.8 Å³ per cell
**Final energy**: -57.6 eV for the cell shown
**Size of the total moment**: 0.2 μB per formula unit

Dy4Y2LuNi2Te2: optimized geometry, GGA-PBE.

abc: 9.3627 9.3627 9.3627
angles: 156.37 66.99 118.34
Closest atoms and distances in Å follow each position.
Element x y z (fractional)
Dy  0.1324  0.0000  0.1324  2 Ni 2.78
Dy  0.2073  0.8533  0.3539  2 Ni 2.82, 2 Te 3.15
Dy  0.4994  0.8533  0.6461  2 Ni 2.82, 2 Te 3.15
Dy  0.8676  0.0000  0.8676  2 Ni 2.78
Y  0.5185  0.2022  0.3163  2 Ni 2.81
Y  0.8859  0.2022  0.6837  2 Ni 2.81
Lu  0.5807  0.5807  0.0000  3 Te 3.18-3.21
Ni  0.2691  0.5075  0.7616  4 Dy 2.78-2.82, 2 Y 2.81
Ni  0.7458  0.5075  0.2384  4 Dy 2.78-2.82, 2 Y 2.81
Te  0.2463  0.2463  0.0000  6 Dy 3.14-3.15, 1 Lu 3.21
Te  0.8445  0.3445  0.5000  2 Lu 3.18, 2 Y 3.18, 4 Dy 3.19

Values from the calculation:
**V**: 287.3 Å³ per cell
**Final energy**: -60.6 eV for the cell shown
**Size of the total moment**: 0.0 μB per formula unit

PrNdNi2Pb: optimized geometry, GGA-PBE.

abc: 3.8206 7.5801 7.5801
angles: 31.53 90.00 90.00
Closest atoms and distances in Å follow each position.
Element x y z (fractional)
Pr  0.0000  0.0000  0.0000  6 Ni 2.96-3.01
Nd  0.0000  0.7226  0.7226  6 Ni 2.95-3.00
Ni  0.5000  0.1598  0.1598  2 Ni 2.49
Ni  0.5000  0.5643  0.5643  2 Ni 2.49
Pb  0.5000  0.3606  0.3606  2 Ni 2.93-2.97

Values from the calculation:
**V**: 114.8 Å³ per cell
**Final energy**: -26.6 eV for the cell shown
**Size of the total moment**: 0.0 μB per formula unit

NaLuAlAu: optimized geometry, GGA-PBE.

abc: 4.7926 4.7926 4.7926
angles: 60.00 60.00 60.00
Closest atoms and distances in Å follow each position.
Element x y z (fractional)
Na  0.0000  0.0000  0.0000  4 Al 2.93, 4 Lu 2.93
Lu  0.2500  0.2500  0.2500  4 Au 2.93, 4 Na 2.93
Al  0.7500  0.7500  0.7500  4 Na 2.93, 4 Au 2.93
Au  0.5000  0.5000  0.5000  4 Al 2.93, 4 Lu 2.93

Values from the calculation:
**V**: 77.8 Å³ per cell
**Final energy**: -14.3 eV for the cell shown
**Size of the total moment**: 0.0 μB per formula unit